Entry 1:
Ba2YTi3O8 | PBE | relaxed

abc: 3.9972 3.9972 11.5574
angles: 90.00 90.00 90.00
Closest atoms and distances in Å follow each position.
Fractional positions:
Ba  0.0000  0.0000  0.1706  12 O 2.81-3.07
Ba  0.0000  0.0000  0.8294  12 O 2.81-3.07
Y  0.0000  0.0000  0.5000  8 O 2.49
Ti  0.5000  0.5000  0.0000  6 O 2.00-2.11
Ti  0.5000  0.5000  0.3531  5 O 1.97-2.01
Ti  0.5000  0.5000  0.6469  5 O 1.97-2.01
O  0.0000  0.5000  0.0000  2 Ti 2.00
O  0.0000  0.5000  0.3717  2 Ti 2.01
O  0.0000  0.5000  0.6283  2 Ti 2.01
O  0.5000  0.0000  0.0000  2 Ti 2.00
O  0.5000  0.0000  0.3717  2 Ti 2.01
O  0.5000  0.0000  0.6283  2 Ti 2.01
O  0.5000  0.5000  0.1830  2 Ti 1.97-2.11
O  0.5000  0.5000  0.8170  2 Ti 1.97-2.11

Summary:
VASP energy ... -115.7 eV for the cell shown
Crystal system ... tetragonal
Symmetry ... No. 123
Formation energy from raw total energies ... -3.00 eV/atom

Entry 2:
AlRe4Te | PBE | relaxed

abc: 5.2812 5.2812 5.2812
angles: 60.00 60.00 60.00
Closest atoms and distances in Å follow each position.
Fractional positions:
Al  0.0000  0.0000  0.0000  12 Re 3.10, 4 Te 3.23
Re  0.1254  0.6249  0.6249  6 Re 2.64
Re  0.6249  0.1254  0.6249  6 Re 2.64
Re  0.6249  0.6249  0.1254  6 Re 2.64
Re  0.6249  0.6249  0.6249  6 Re 2.64
Te  0.2500  0.2500  0.2500  12 Re 3.10, 4 Al 3.23

Summary:
VASP energy ... -52.7 eV for the cell shown
Crystal system ... cubic
Symmetry ... No. 216
Formation energy from raw total energies ... 0.66 eV/atom

Entry 3:
NiW | PBE | relaxed

abc: 9.3731 2.6545 4.5575
angles: 90.00 108.75 90.00
Closest atoms and distances in Å follow each position.
Fractional positions:
Ni  0.1435  0.0000  0.3361  4 Ni 2.46-2.65, 7 W 2.61-2.66
Ni  0.3565  0.5000  0.6639  4 Ni 2.46-2.65, 7 W 2.61-2.66
Ni  0.6435  0.5000  0.3361  4 Ni 2.46-2.65, 7 W 2.61-2.66
Ni  0.8565  0.0000  0.6639  4 Ni 2.46-2.65, 7 W 2.61-2.66
W  0.1098  0.5000  0.8131  7 Ni 2.61-2.66, 2 W 2.65
W  0.3902  0.0000  0.1869  7 Ni 2.61-2.66, 2 W 2.65
W  0.6098  0.0000  0.8131  7 Ni 2.61-2.66, 2 W 2.65
W  0.8902  0.5000  0.1869  7 Ni 2.61-2.66, 2 W 2.65

Summary:
Energy of formation ... 105.6 meV per atom
VASP energy ... -74.1 eV for the cell shown
Crystal system ... monoclinic
Symmetry ... No. 12

Entry 4:
CeMnH6Ru | PBE | relaxed

abc: 4.6177 4.6177 4.4067
angles: 90.00 90.00 120.00
Closest atoms and distances in Å follow each position.
Fractional positions:
Ce  0.0000  0.0000  0.0000  12 H 2.52
Mn  0.3333  0.6667  0.5000  6 H 1.84
H  0.5077  0.0154  0.2290  1 Ru 1.74, 1 Mn 1.84
H  0.5077  0.0154  0.7710  1 Ru 1.74, 1 Mn 1.84
H  0.5077  0.4923  0.2290  1 Ru 1.74, 1 Mn 1.84
H  0.5077  0.4923  0.7710  1 Ru 1.74, 1 Mn 1.84
H  0.9846  0.4923  0.2290  1 Ru 1.74, 1 Mn 1.84
H  0.9846  0.4923  0.7710  1 Ru 1.74, 1 Mn 1.84
Ru  0.6667  0.3333  0.5000  6 H 1.74

Summary:
VASP energy ... -46.8 eV for the cell shown
Crystal system ... hexagonal
Symmetry ... No. 187

VASP energy of number 3 (NiW)?
-74.1 eV for the cell shown

Look up the VASP energy of the third one.
-74.1 eV for the cell shown